Material: La2ScTl
Method: DFT, PBE-GGA
State: optimized geometry

a = 3.5631 Å, b = 4.6079 Å, c = 7.0867 Å
α = 90.00°, β = 90.00°, γ = 90.00°
Atoms (fractional coordinates):
Sc 0.0000 0.0000 0.5241
La 0.0000 0.0000 0.9989
La 0.5000 0.5000 0.2478
Tl 0.5000 0.5000 0.7292

Results
DFT formation energy ... -122.5 meV/atom
Space-group type ... Pmm2, No. 25